Record 1
Computed, not measured: a geometry-optimized BaHf3Pd structure at the PBE level of DFT.

## Properties
The spin magnetization comes out at 0.0000 μB/atom. The offset from the most stable computed form is 0 meV per atom. The final energy comes out at -34.76 eV/cell. For the energy of formation from the pure elements, the calculation gives 0.442 eV/atom. Its calculated density is 9.21 g cm⁻³.

Cell lengths 5.1994, 5.1994, 5.1994 Å; angles 90.00, 90.00, 90.00 degrees
Space group Pm-3m (No. 221)
Asymmetric unit:
Ba 0.0000 0.0000 0.0000 [1 per cell]
Hf 0.0000 0.5000 0.5000 [3 per cell]
Pd 0.5000 0.5000 0.5000 [1 per cell]

---

Record 2
Computed, not measured: a geometry-optimized YPaIrPd structure at the PBE level of DFT.

## Properties
The spin magnetization comes out at 0.0000 μB/atom. The offset from the most stable computed form is 0 meV per atom. The final energy comes out at -66.99 eV/cell. For the energy of formation from the pure elements, the calculation gives -0.870 eV/atom. Its calculated density is 11.53 g cm⁻³.

Cell lengths 4.1040, 3.7545, 11.5679 Å; angles 90.00, 90.00, 90.00 degrees
Space group Amm2 (No. 38)
Asymmetric unit:
Y 0.0000 0.0000 0.0000 [2 per cell]
Pa 0.5000 0.0000 0.7254 [2 per cell]
Ir 0.0000 0.0000 0.2520 [2 per cell]
Pd 0.5000 0.0000 0.4350 [2 per cell]

---

Record 3
Computed, not measured: a geometry-optimized CrAsAu2 structure at the PBE level of DFT.

## Properties
The spin magnetization comes out at 0.8784 μB/atom. The final energy comes out at -19.91 eV/cell. For the energy of formation from the pure elements, the calculation gives 0.229 eV/atom. Its calculated density is 12.12 g cm⁻³.

Cell lengths 2.9833, 2.9833, 8.0184 Å; angles 90.00, 90.00, 90.00 degrees
Space group P4/mmm (No. 123)
Asymmetric unit:
Cr 0.0000 0.0000 0.0000 [1 per cell]
As 0.0000 0.0000 0.5000 [1 per cell]
Au 0.5000 0.5000 0.2289 [2 per cell]

---

Record 4
Computed, not measured: a geometry-optimized RbNb6O12 structure at the PBE level of DFT.

## Properties
The spin magnetization comes out at 0.3603 μB/atom. The final energy comes out at -479.64 eV/cell. Its calculated density is 5.94 g cm⁻³.

Cell lengths 10.1496, 10.1496, 7.8431 Å; angles 90.00, 90.00, 120.00 degrees
Space group R-3m (No. 166, hexagonal axes)
Asymmetric unit:
Rb 0.0000 0.0000 0.0000 [3 per cell]
Nb 0.0736 0.5368 0.2981 [18 per cell]
O 0.0000 0.3735 0.5000 [18 per cell]
O 0.0927 0.1855 0.3739 [18 per cell]

---

Record 5
Computed, not measured: a geometry-optimized LiTiSe2N structure at the PBE level of DFT.

## Properties
The spin magnetization comes out at 0.2955 μB/atom. The offset from the most stable computed form is 0 meV per atom. The final energy comes out at -27.02 eV/cell. Its calculated density is 3.78 g cm⁻³.

Cell lengths 5.0761, 5.0761, 3.8663 Å; angles 90.00, 90.00, 90.00 degrees
Space group P4/mmm (No. 123)
Asymmetric unit:
Li 0.0000 0.0000 0.0000 [1 per cell]
Ti 0.5000 0.5000 0.5000 [1 per cell]
Se 0.0000 0.5000 0.5000 [2 per cell]
N 0.5000 0.5000 0.0000 [1 per cell]

---

Record 6
Computed, not measured: a geometry-optimized Nd2TmTh3Te6 structure at the PBE level of DFT.

## Properties
The spin magnetization comes out at 0.0000 μB/atom. The final energy comes out at -138.09 eV/cell. Its calculated density is 8.53 g cm⁻³.

Cell lengths 19.9218, 4.3234, 9.1750 Å; angles 90.00, 109.08, 90.00 degrees
Space group C2/m (No. 12)
Asymmetric unit:
Nd 0.1672 0.0000 0.3353 [4 per cell]
Tm 0.0000 0.5000 0.0000 [2 per cell]
Th 0.0000 0.5000 0.5000 [2 per cell]
Th 0.1713 0.0000 0.8381 [4 per cell]
Te 0.0017 0.0000 0.7630 [4 per cell]
Te 0.1600 0.5000 0.0821 [4 per cell]
Te 0.1673 0.5000 0.5831 [4 per cell]